! BaTl2ZnCd (PBE-GGA, optimized geometry); values from VASP
&SYSTEM
  ibrav = 0, nat = 5, ntyp = 4
/
ATOMIC_SPECIES
Zn 65.41 Zn.upf
Tl 204.38 Tl.upf
Ba 137.33 Ba.upf
Cd 112.41 Cd.upf
CELL_PARAMETERS angstrom
5.541 0.000 0.000
0.000 5.541 0.000
0.000 0.000 5.189
ATOMIC_POSITIONS angstrom
Zn 0.000 0.000 0.000
Tl 0.000 2.770 0.000
Tl 2.770 0.000 0.000
Ba 2.770 2.770 2.594
Cd 0.000 0.000 2.594
! - total DFT energy (no corrections) (eV/f.u.) = -9.21
! - crystal system = tetragonal
! - SG = No. 123
! - total moment (μB per atom) = 0.00
! - E_form (eV per atom) = -0.0725

! Li2La2HfO6 (PBE-GGA, optimized geometry); values from VASP
&SYSTEM
  ibrav = 0, nat = 11, ntyp = 4
/
ATOMIC_SPECIES
Li 6.94 Li.upf
La 138.91 La.upf
Hf 178.49 Hf.upf
O 16.00 O.upf
CELL_PARAMETERS angstrom
-3.309 0.137 4.749
-5.768 0.121 -0.492
-3.140 -5.099 1.488
ATOMIC_POSITIONS angstrom
Li -6.134 -3.554 2.888
Li -6.083 -1.287 2.857
La -9.148 -2.972 4.300
La -3.069 -1.869 1.445
Hf 0.000 0.000 0.000
O -7.710 -1.176 3.620
O -5.929 -1.250 1.064
O -4.606 -1.241 3.885
O -7.611 -3.600 1.860
O -6.287 -3.591 4.681
O -4.507 -3.665 2.125
! - total DFT energy (no corrections) (eV/f.u.) = -84.67
! - crystal system = trigonal
! - SG = No. 166
! - formation energy without anion corrections (kJ/mol of formula units) = -3018
! - total moment (μB per atom) = 0.00

! Sn3HgIr (PBE-GGA, optimized geometry); values from VASP
&SYSTEM
  ibrav = 0, nat = 5, ntyp = 3
/
ATOMIC_SPECIES
Ir 192.22 Ir.upf
Hg 200.59 Hg.upf
Sn 118.71 Sn.upf
CELL_PARAMETERS angstrom
-2.396 4.596 0.359
-1.107 -0.966 4.983
4.475 2.222 1.425
ATOMIC_POSITIONS angstrom
Ir 0.000 0.000 0.000
Hg 0.486 2.926 3.383
Sn -0.553 -0.483 2.492
Sn 2.237 1.111 0.712
Sn -1.198 2.298 0.179
! - total DFT energy (no corrections) (eV/f.u.) = -20.56
! - crystal system = cubic
! - SG = No. 221
! - total moment (μB per atom) = 0.00
! - E_form (eV per atom) = 0.1224

! Ba2Sn3Hg4 (PBE-GGA, optimized geometry); values from VASP
&SYSTEM
  ibrav = 0, nat = 18, ntyp = 3
/
ATOMIC_SPECIES
Ba 137.33 Ba.upf
Sn 118.71 Sn.upf
Hg 200.59 Hg.upf
CELL_PARAMETERS angstrom
-0.957 -4.800 -4.631
8.935 -2.030 0.259
-1.045 -3.487 8.733
ATOMIC_POSITIONS angstrom
Ba 4.880 -2.556 1.642
Ba 2.054 -7.761 2.718
Ba -0.404 -4.694 4.949
Ba 7.337 -5.624 -0.589
Sn 0.000 0.000 0.000
Sn 3.989 -3.415 -2.186
Sn 5.597 -6.065 2.679
Sn 0.858 -6.653 -0.635
Sn 1.336 -4.253 1.681
Sn 6.076 -3.665 4.995
Hg 5.090 -8.027 4.817
Hg 1.365 -4.691 -2.773
Hg 1.844 -2.291 -0.458
Hg 5.568 -5.627 7.133
Hg 8.069 -4.074 2.556
Hg -1.135 -6.244 1.804
Hg 3.173 -4.714 4.230
Hg 3.760 -5.604 0.130
! - total DFT energy (no corrections) (eV/f.u.) = -20.51
! - crystal system = orthorhombic
! - SG = No. 64
! - total moment (μB per atom) = 0.00
! - E_form (eV per atom) = -0.3831

! PmOsO5 (PBE-GGA, optimized geometry); values from VASP
&SYSTEM
  ibrav = 0, nat = 14, ntyp = 3
/
ATOMIC_SPECIES
Pm 145.00 Pm.upf
Os 190.23 Os.upf
O 16.00 O.upf
CELL_PARAMETERS angstrom
6.157 -0.320 2.408
-3.647 5.413 1.102
0.291 -0.320 6.605
ATOMIC_POSITIONS angstrom
Pm -0.506 2.976 2.392
Pm 3.308 1.797 7.723
Os 0.000 0.000 0.000
Os 3.224 -0.320 4.507
O 0.738 1.497 1.031
O -0.120 3.980 7.007
O 3.962 1.177 5.538
O 1.493 0.066 5.186
O -2.420 4.300 1.839
O 5.222 0.473 8.275
O 1.309 4.708 4.929
O -1.160 3.596 4.577
O 2.922 0.793 3.108
O 1.773 3.597 2.478
! - total DFT energy (no corrections) (eV/f.u.) = -53.28
! - crystal system = orthorhombic
! - SG = No. 74
! - formation energy without anion corrections (kJ/mol of formula units) = -1207
! - total moment (μB per atom) = 0.00

! Be2TcH (PBE-GGA, optimized geometry); values from VASP
&SYSTEM
  ibrav = 0, nat = 4, ntyp = 3
/
ATOMIC_SPECIES
Be 9.01 Be.upf
Tc 98.00 Tc.upf
H 1.01 H.upf
CELL_PARAMETERS angstrom
-0.904 -2.209 2.895
-0.906 1.520 3.309
-3.546 -0.137 1.220
ATOMIC_POSITIONS angstrom
Be -1.339 -0.207 1.856
Be -4.017 -0.620 5.567
Tc -2.678 -0.413 3.712
H 0.000 0.000 0.000
! - total DFT energy (no corrections) (eV/f.u.) = -17.82
! - crystal system = cubic
! - SG = No. 225
! - total moment (μB per atom) = 0.00

! PmPr2S3 (PBE-GGA, optimized geometry); values from VASP
&SYSTEM
  ibrav = 0, nat = 6, ntyp = 3
/
ATOMIC_SPECIES
Pm 145.00 Pm.upf
Pr 140.91 Pr.upf
S 32.06 S.upf
CELL_PARAMETERS angstrom
-3.878 -0.207 -1.269
1.526 -3.832 -4.036
0.131 -2.545 6.591
ATOMIC_POSITIONS angstrom
Pm -1.111 -3.292 0.643
Pr -1.935 -3.775 -3.336
Pr -0.286 -2.809 4.621
S -2.709 -1.907 -1.276
S 0.488 -4.677 2.561
S -1.873 -1.376 2.661
! - total DFT energy (no corrections) (eV/f.u.) = -38.83
! - crystal system = orthorhombic
! - SG = No. 71
! - formation energy without anion corrections (kJ/mol of formula units) = -1171
! - total moment (μB per atom) = 0.00

! Cr2SbAs (PBE-GGA, optimized geometry); values from VASP
&SYSTEM
  ibrav = 0, nat = 4, ntyp = 3
/
ATOMIC_SPECIES
Sb 121.76 Sb.upf
As 74.92 As.upf
Cr 52.00 Cr.upf
CELL_PARAMETERS angstrom
0.000 3.137 3.137
3.137 0.000 3.137
3.137 3.137 0.000
ATOMIC_POSITIONS angstrom
Sb 3.137 3.137 3.137
As 0.000 0.000 0.000
Cr 1.569 1.569 1.569
Cr 4.706 4.706 4.706
! - total DFT energy (no corrections) (eV/f.u.) = -26.75
! - crystal system = cubic
! - SG = No. 225
! - formation energy without anion corrections (kJ/mol of formula units) = 122
! - total moment (μB per atom) = 0.63

! Tl2FeAg (PBE-GGA, optimized geometry); values from VASP
&SYSTEM
  ibrav = 0, nat = 4, ntyp = 3
/
ATOMIC_SPECIES
Ag 107.87 Ag.upf
Fe 55.84 Fe.upf
Tl 204.38 Tl.upf
CELL_PARAMETERS angstrom
3.244 0.000 0.000
0.000 3.138 0.530
0.000 1.982 8.498
ATOMIC_POSITIONS angstrom
Ag 1.622 1.280 2.257
Fe 1.622 3.840 6.771
Tl 0.000 1.995 8.337
Tl 0.000 2.547 4.675
! - total DFT energy (no corrections) (eV/f.u.) = -14.15
! - crystal system = monoclinic
! - SG = No. 10
! - total moment (μB per atom) = 0.72
! - E_form (eV per atom) = 0.4743